No. 1
4
Lattice="2.881 0.013 0.000 -0.457 2.844 0.000 0.000 0.000 11.374" Properties=species:S:1:pos:R:3 comment="K2WAu (GGA-PBE, optimized geometry)" e_form_kj_per_mol_atoms=92.6 mass_density_g_cm3=8.174 relative_energy_mev_per_atom=194 space_group=Cmmm pbc="T T T"
W 1.212 1.428 2.844
K 0.000 0.000 11.292
K 0.000 0.000 5.769
Au 1.212 1.428 8.531

No. 2
4
Lattice="3.614 0.000 0.000 0.000 3.614 0.000 0.000 0.000 10.398" Properties=species:S:1:pos:R:3 comment="K2WAu (GGA-PBE, optimized geometry)" e_form_kj_per_mol_atoms=85.7 mass_density_g_cm3=5.613 relative_energy_mev_per_atom=123 space_group=P4mm pbc="T T T"
Au 1.807 1.807 6.971
W 0.000 0.000 6.116
K 0.000 0.000 9.505
K 1.807 1.807 3.404